Entry 1:
## CuRh5 (PBE)

Data for a relaxed CuRh5 crystal.

Calculated values
DFT formation energy: 0.4 eV/f.u.
Space-group type: Cm, No. 8
Distance to the lowest polymorph of the same formula: 24 meV/atom
Size of the total moment: 0.00 μB per cell

a = 2.7345 Å, b = 5.1244 Å, c = 6.4325 Å
α = 75.81°, β = 90.00°, γ = 105.47°
Positions (direct):
1 Cu 0.0004 0.0008 0.0005
2 Rh 0.3876 0.7753 0.7241
3 Rh 0.6660 0.3320 0.6688
4 Rh 0.0568 0.1136 0.3875
5 Rh 0.3336 0.6672 0.3304
6 Rh 0.7222 0.4445 0.0553

Entry 2:
## Sm4Tm5Pu (PBE)

Data for a relaxed Sm4Tm5Pu crystal.

Calculated values
DFT formation energy: 2.6 eV/f.u.
Space-group type: Immm, No. 71
Size of the total moment: 12.26 μB per cell

a = 5.6341 Å, b = 11.4527 Å, c = 10.1161 Å
α = 90.00°, β = 90.00°, γ = 90.00°
Last column: magnetic moment on the atom in μB.
Positions (direct):
1 Sm 0.7500 0.1868 0.0000  0.02
2 Sm 0.7502 0.0000 0.2801  -0.04
3 Sm 0.7502 0.0000 0.7199  -0.04
4 Sm 0.7500 0.8132 0.0000  0.02
5 Sm 0.2500 0.6868 0.5000  0.02
6 Sm 0.2498 0.5000 0.2199  -0.04
7 Sm 0.2498 0.5000 0.7801  -0.04
8 Sm 0.2500 0.3132 0.5000  0.02
9 Tm 0.7500 0.3081 0.3052  0.11
10 Tm 0.7500 0.3081 0.6948  0.11
11 Tm 0.2503 0.0000 0.5000  -0.15
12 Tm 0.7500 0.6919 0.3052  0.11
13 Tm 0.7500 0.6919 0.6948  0.11
14 Tm 0.2500 0.8081 0.1948  0.11
15 Tm 0.2500 0.8081 0.8052  0.11
16 Tm 0.7497 0.5000 0.0000  -0.15
17 Tm 0.2500 0.1919 0.8052  0.11
18 Tm 0.2500 0.1919 0.1948  0.11
19 Pu 0.2499 0.0000 0.0000  5.63
20 Pu 0.7501 0.5000 0.5000  5.63

Entry 3:
## TaTlPb2 (PBE)

Data for a relaxed TaTlPb2 crystal.

Calculated values
DFT formation energy: 1.8 eV/f.u.
Space-group type: Cmm2, No. 35
Distance to the lowest polymorph of the same formula: 115 meV/atom
Size of the total moment: 0.00 μB per cell

a = 3.2029 Å, b = 3.2029 Å, c = 10.5737 Å
α = 90.00°, β = 90.00°, γ = 106.13°
Positions (direct):
1 Pb 0.0000 0.0000 0.9807
2 Pb 0.5000 0.5000 0.2875
3 Ta 0.0000 0.0000 0.5083
4 Tl 0.5000 0.5000 0.7234

| no. | V (Å³ per cell) | density of states at the Fermi level (states/eV/f.u.) |
| --- | --- | --- |
| 1 | 84.0 | 10.5 |
| 2 | 652.7 | 18.2 |
| 3 | 104.2 | 1.7 |